Arrangement one

Material: La2Tc2Pd
Method: DFT, GGA-PBE
State: optimized geometry

CIF file:
```
data_La2Tc2Pd
_chemical_formula_sum 'La4 Tc4 Pd2'
_cell_length_a 3.5947
_cell_length_b 3.5947
_cell_length_c 17.9577
_cell_angle_alpha 90.00
_cell_angle_beta 90.00
_cell_angle_gamma 90.00
_space_group_name_H-M_alt 'P 1'
_space_group_IT_number 1
_space_group_name_Hall 'P 1'
loop_
_atom_site_label
_atom_site_type_symbol
_atom_site_fract_x
_atom_site_fract_y
_atom_site_fract_z
La1 La 0.0000 0.0000 0.1036
La2 La 0.0000 0.0000 0.8964
La3 La 0.5000 0.5000 0.3964
La4 La 0.5000 0.5000 0.6036
Tc1 Tc 0.0000 0.5000 0.2500
Tc2 Tc 0.0000 0.5000 0.7500
Tc3 Tc 0.5000 0.0000 0.2500
Tc4 Tc 0.5000 0.0000 0.7500
Pd1 Pd 0.0000 0.0000 0.5000
Pd2 Pd 0.5000 0.5000 0.0000
```

## Properties
SG: No. 139
DOS at the Fermi energy in states/eV per atom: 0.91

***

Arrangement two

Material: La2Tc2Pd
Method: DFT, GGA-PBE
State: optimized geometry

CIF file:
```
data_La2Tc2Pd
_chemical_formula_sum 'La4 Tc4 Pd2'
_cell_length_a 8.6771
_cell_length_b 8.6771
_cell_length_c 3.2029
_cell_angle_alpha 90.00
_cell_angle_beta 90.00
_cell_angle_gamma 90.00
_space_group_name_H-M_alt 'P 1'
_space_group_IT_number 1
_space_group_name_Hall 'P 1'
loop_
_atom_site_label
_atom_site_type_symbol
_atom_site_fract_x
_atom_site_fract_y
_atom_site_fract_z
La1 La 0.1973 0.3027 0.0000
La2 La 0.3027 0.8027 0.0000
La3 La 0.6973 0.1973 0.0000
La4 La 0.8027 0.6973 0.0000
Tc1 Tc 0.0898 0.5898 0.5000
Tc2 Tc 0.4102 0.0898 0.5000
Tc3 Tc 0.5898 0.9102 0.5000
Tc4 Tc 0.9102 0.4102 0.5000
Pd1 Pd 0.0000 0.0000 0.0000
Pd2 Pd 0.5000 0.5000 0.0000
```

## Properties
SG: No. 127
DOS at the Fermi energy in states/eV per atom: 0.88

***

Arrangement three

Material: La2Tc2Pd
Method: DFT, GGA-PBE
State: optimized geometry

CIF file:
```
data_La2Tc2Pd
_chemical_formula_sum 'La4 Tc4 Pd2'
_cell_length_a 7.0970
_cell_length_b 7.0970
_cell_length_c 4.4609
_cell_angle_alpha 90.00
_cell_angle_beta 90.00
_cell_angle_gamma 90.00
_space_group_name_H-M_alt 'P 1'
_space_group_IT_number 1
_space_group_name_Hall 'P 1'
loop_
_atom_site_label
_atom_site_type_symbol
_atom_site_fract_x
_atom_site_fract_y
_atom_site_fract_z
La1 La 0.1888 0.3112 0.0000
La2 La 0.3112 0.8112 0.0000
La3 La 0.6888 0.1888 0.0000
La4 La 0.8112 0.6888 0.0000
Tc1 Tc 0.1144 0.6144 0.5000
Tc2 Tc 0.3856 0.1144 0.5000
Tc3 Tc 0.6144 0.8856 0.5000
Tc4 Tc 0.8856 0.3856 0.5000
Pd1 Pd 0.0000 0.0000 0.5000
Pd2 Pd 0.5000 0.5000 0.5000
```

## Properties
SG: No. 127
DOS at the Fermi energy in states/eV per atom: 0.60

***

Result of the stability comparison: arrangement two is the least stable of them.

***

Arrangement one

Material: LaThPd4
Method: DFT, GGA-PBE
State: optimized geometry

CIF file:
```
data_LaThPd4
_chemical_formula_sum 'La1 Th1 Pd4'
_cell_length_a 5.5435
_cell_length_b 5.5435
_cell_length_c 5.5435
_cell_angle_alpha 60.00
_cell_angle_beta 60.00
_cell_angle_gamma 60.00
_space_group_name_H-M_alt 'P 1'
_space_group_IT_number 1
_space_group_name_Hall 'P 1'
loop_
_atom_site_label
_atom_site_type_symbol
_atom_site_fract_x
_atom_site_fract_y
_atom_site_fract_z
La1 La 0.0000 0.0000 0.0000
Th1 Th 0.2500 0.2500 0.2500
Pd1 Pd 0.1259 0.6247 0.6247
Pd2 Pd 0.6247 0.1259 0.6247
Pd3 Pd 0.6247 0.6247 0.1259
Pd4 Pd 0.6247 0.6247 0.6247
```

## Properties
SG: No. 216
DOS at the Fermi energy in states/eV per atom: 0.60

***

Arrangement two

Material: LaThPd4
Method: DFT, GGA-PBE
State: optimized geometry

CIF file:
```
data_LaThPd4
_chemical_formula_sum 'La2 Th2 Pd8'
_cell_length_a 10.5333
_cell_length_b 10.5333
_cell_length_c 5.8897
_cell_angle_alpha 90.00
_cell_angle_beta 90.00
_cell_angle_gamma 156.72
_space_group_name_H-M_alt 'P 1'
_space_group_IT_number 1
_space_group_name_Hall 'P 1'
loop_
_atom_site_label
_atom_site_type_symbol
_atom_site_fract_x
_atom_site_fract_y
_atom_site_fract_z
La1 La 0.2214 0.7786 0.7500
La2 La 0.7786 0.2214 0.2500
Th1 Th 0.0771 0.9229 0.2500
Th2 Th 0.9229 0.0771 0.7500
Pd1 Pd 0.0696 0.9304 0.7500
Pd2 Pd 0.3573 0.6427 0.0095
Pd3 Pd 0.3573 0.6427 0.4905
Pd4 Pd 0.5000 0.5000 0.0000
Pd5 Pd 0.5000 0.5000 0.5000
Pd6 Pd 0.6427 0.3573 0.5095
Pd7 Pd 0.6427 0.3573 0.9905
Pd8 Pd 0.9304 0.0696 0.2500
```

## Properties
SG: No. 63
DOS at the Fermi energy in states/eV per atom: 0.31

***

Result of the stability comparison: arrangement one is the least stable of them.

***

Arrangement one

Material: LaTh2Pd
Method: DFT, GGA-PBE
State: optimized geometry

CIF file:
```
data_LaTh2Pd
_chemical_formula_sum 'La3 Th6 Pd3'
_cell_length_a 3.7618
_cell_length_b 3.7618
_cell_length_c 29.9053
_cell_angle_alpha 90.00
_cell_angle_beta 90.00
_cell_angle_gamma 120.00
_space_group_name_H-M_alt 'P 1'
_space_group_IT_number 1
_space_group_name_Hall 'P 1'
loop_
_atom_site_label
_atom_site_type_symbol
_atom_site_fract_x
_atom_site_fract_y
_atom_site_fract_z
La1 La 0.0000 0.0000 0.0000
La2 La 0.3333 0.6667 0.6667
La3 La 0.6667 0.3333 0.3333
Th1 Th 0.0000 0.0000 0.2330
Th2 Th 0.0000 0.0000 0.4311
Th3 Th 0.3333 0.6667 0.0978
Th4 Th 0.3333 0.6667 0.8997
Th5 Th 0.6667 0.3333 0.5663
Th6 Th 0.6667 0.3333 0.7645
Pd1 Pd 0.0000 0.0000 0.8307
Pd2 Pd 0.3333 0.6667 0.4974
Pd3 Pd 0.6667 0.3333 0.1641
```

## Properties
SG: No. 160
DOS at the Fermi energy in states/eV per atom: 1.65

***

Arrangement two

Material: LaTh2Pd
Method: DFT, GGA-PBE
State: optimized geometry

CIF file:
```
data_LaTh2Pd
_chemical_formula_sum 'La1 Th2 Pd1'
_cell_length_a 3.7077
_cell_length_b 3.7077
_cell_length_c 8.3747
_cell_angle_alpha 90.00
_cell_angle_beta 90.00
_cell_angle_gamma 90.00
_space_group_name_H-M_alt 'P 1'
_space_group_IT_number 1
_space_group_name_Hall 'P 1'
loop_
_atom_site_label
_atom_site_type_symbol
_atom_site_fract_x
_atom_site_fract_y
_atom_site_fract_z
La1 La 0.0000 0.0000 0.0000
Th1 Th 0.5000 0.5000 0.2940
Th2 Th 0.5000 0.5000 0.7060
Pd1 Pd 0.0000 0.0000 0.5000
```

## Properties
SG: No. 123
DOS at the Fermi energy in states/eV per atom: 1.14

***

Arrangement three

Material: LaTh2Pd
Method: DFT, GGA-PBE
State: optimized geometry

CIF file:
```
data_LaTh2Pd
_chemical_formula_sum 'La3 Th6 Pd3'
_cell_length_a 3.5621
_cell_length_b 3.5621
_cell_length_c 33.2199
_cell_angle_alpha 90.00
_cell_angle_beta 90.00
_cell_angle_gamma 120.00
_space_group_name_H-M_alt 'P 1'
_space_group_IT_number 1
_space_group_name_Hall 'P 1'
loop_
_atom_site_label
_atom_site_type_symbol
_atom_site_fract_x
_atom_site_fract_y
_atom_site_fract_z
La1 La 0.0000 0.0000 0.0000
La2 La 0.3333 0.6667 0.6667
La3 La 0.6667 0.3333 0.3333
Th1 Th 0.0000 0.0000 0.1016
Th2 Th 0.0000 0.0000 0.8984
Th3 Th 0.3333 0.6667 0.5651
Th4 Th 0.3333 0.6667 0.7683
Th5 Th 0.6667 0.3333 0.2317
Th6 Th 0.6667 0.3333 0.4349
Pd1 Pd 0.0000 0.0000 0.5000
Pd2 Pd 0.3333 0.6667 0.1667
Pd3 Pd 0.6667 0.3333 0.8333
```

## Properties
SG: No. 166
DOS at the Fermi energy in states/eV per atom: 1.55

***

Result of the stability comparison: arrangement three is the least stable of them.

***

Arrangement one

Material: LaTh2Pd7
Method: DFT, GGA-PBE
State: optimized geometry

CIF file:
```
data_LaTh2Pd7
_chemical_formula_sum 'La1 Th2 Pd7'
_cell_length_a 9.6063
_cell_length_b 9.0477
_cell_length_c 5.2428
_cell_angle_alpha 79.64
_cell_angle_beta 67.89
_cell_angle_gamma 32.47
_space_group_name_H-M_alt 'P 1'
_space_group_IT_number 1
_space_group_name_Hall 'P 1'
loop_
_atom_site_label
_atom_site_type_symbol
_atom_site_fract_x
_atom_site_fract_y
_atom_site_fract_z
La1 La 0.0000 0.0000 0.0000
Th1 Th 0.3299 0.3299 0.6701
Th2 Th 0.6701 0.6701 0.3299
Pd1 Pd 0.0853 0.0853 0.4147
Pd2 Pd 0.2500 0.2500 0.2500
Pd3 Pd 0.4147 0.4147 0.0853
Pd4 Pd 0.5000 0.5000 0.5000
Pd5 Pd 0.5853 0.5853 0.9147
Pd6 Pd 0.7500 0.7500 0.7500
Pd7 Pd 0.9147 0.9147 0.5853
```

## Properties
SG: No. 69
DOS at the Fermi energy in states/eV per atom: 0.75

***

Arrangement two

Material: LaTh2Pd7
Method: DFT, GGA-PBE
State: optimized geometry

CIF file:
```
data_LaTh2Pd7
_chemical_formula_sum 'La1 Th2 Pd7'
_cell_length_a 8.4171
_cell_length_b 8.4171
_cell_length_c 4.4751
_cell_angle_alpha 90.00
_cell_angle_beta 90.00
_cell_angle_gamma 128.96
_space_group_name_H-M_alt 'P 1'
_space_group_IT_number 1
_space_group_name_Hall 'P 1'
loop_
_atom_site_label
_atom_site_type_symbol
_atom_site_fract_x
_atom_site_fract_y
_atom_site_fract_z
La1 La 0.0000 0.0000 0.0000
Th1 Th 0.3075 0.6925 0.5000
Th2 Th 0.6925 0.3075 0.5000
Pd1 Pd 0.0827 0.2875 0.5000
Pd2 Pd 0.1927 0.8073 0.0000
Pd3 Pd 0.2875 0.0827 0.5000
Pd4 Pd 0.5000 0.5000 0.5000
Pd5 Pd 0.7125 0.9173 0.5000
Pd6 Pd 0.8073 0.1927 0.0000
Pd7 Pd 0.9173 0.7125 0.5000
```

## Properties
SG: No. 65
DOS at the Fermi energy in states/eV per atom: 0.66

***

Result of the stability comparison: arrangement two is the least stable of them.

***

Arrangement one

Material: LaThPd3
Method: DFT, GGA-PBE
State: optimized geometry

CIF file:
```
data_LaThPd3
_chemical_formula_sum 'La2 Th2 Pd6'
_cell_length_a 4.4513
_cell_length_b 5.9635
_cell_length_c 9.0127
_cell_angle_alpha 90.00
_cell_angle_beta 90.00
_cell_angle_gamma 90.00
_space_group_name_H-M_alt 'P 1'
_space_group_IT_number 1
_space_group_name_Hall 'P 1'
loop_
_atom_site_label
_atom_site_type_symbol
_atom_site_fract_x
_atom_site_fract_y
_atom_site_fract_z
La1 La 0.2500 0.2500 0.1064
La2 La 0.7500 0.7500 0.8936
Th1 Th 0.2500 0.7500 0.4460
Th2 Th 0.7500 0.2500 0.5540
Pd1 Pd 0.2500 0.0135 0.7198
Pd2 Pd 0.2500 0.4865 0.7198
Pd3 Pd 0.2500 0.7500 0.1297
Pd4 Pd 0.7500 0.2500 0.8703
Pd5 Pd 0.7500 0.5135 0.2802
Pd6 Pd 0.7500 0.9865 0.2802
```

## Properties
SG: No. 59
DOS at the Fermi energy in states/eV per atom: 0.55

***

Arrangement two

Material: LaThPd3
Method: DFT, GGA-PBE
State: optimized geometry

CIF file:
```
data_LaThPd3
_chemical_formula_sum 'La2 Th2 Pd6'
_cell_length_a 14.2170
_cell_length_b 14.2170
_cell_length_c 4.3314
_cell_angle_alpha 90.00
_cell_angle_beta 90.00
_cell_angle_gamma 164.15
_space_group_name_H-M_alt 'P 1'
_space_group_IT_number 1
_space_group_name_Hall 'P 1'
loop_
_atom_site_label
_atom_site_type_symbol
_atom_site_fract_x
_atom_site_fract_y
_atom_site_fract_z
La1 La 0.0696 0.9304 0.7500
La2 La 0.9304 0.0696 0.2500
Th1 Th 0.2002 0.7998 0.2500
Th2 Th 0.7998 0.2002 0.7500
Pd1 Pd 0.3103 0.6897 0.2500
Pd2 Pd 0.3765 0.6235 0.7500
Pd3 Pd 0.4716 0.5284 0.7500
Pd4 Pd 0.5284 0.4716 0.2500
Pd5 Pd 0.6235 0.3765 0.2500
Pd6 Pd 0.6897 0.3103 0.7500
```

## Properties
SG: No. 63
DOS at the Fermi energy in states/eV per atom: 0.50

***

Result of the stability comparison: arrangement one is the least stable of them.